! Sr3MnPt (GGA-PBEsol, optimized geometry); values from VASP
&SYSTEM
  ibrav = 0, nat = 5, ntyp = 3
/
ATOMIC_SPECIES
Sr 87.62 Sr.upf
Mn 54.94 Mn.upf
Pt 195.08 Pt.upf
ATOMIC_POSITIONS angstrom
Sr 0.000 0.000 2.689
Sr 0.000 2.689 0.000
Sr 2.689 0.000 0.000
Mn 0.000 0.000 0.000
Pt 2.689 2.689 2.689
CELL_PARAMETERS angstrom
5.377 0.000 0.000
0.000 5.377 0.000
0.000 0.000 5.377
! - energy relative to the elements (eV/atom) = 0.738
! - DOS at the Fermi energy (states/eV/f.u.) = 5.46
! - space-group type = Pm-3m


! YAgPb2 (GGA-PBEsol, optimized geometry); values from VASP
&SYSTEM
  ibrav = 0, nat = 4, ntyp = 3
/
ATOMIC_SPECIES
Y 88.91 Y.upf
Ag 107.87 Ag.upf
Pb 207.20 Pb.upf
ATOMIC_POSITIONS angstrom
Y 0.000 0.000 0.000
Ag 2.355 2.355 0.000
Pb 0.000 2.355 2.180
Pb 2.355 0.000 2.180
CELL_PARAMETERS angstrom
4.710 0.000 0.000
0.000 4.710 0.000
0.000 0.000 4.361
! - energy relative to the elements (eV/atom) = -0.327
! - DOS at the Fermi energy (states/eV/f.u.) = 1.93
! - space-group type = P4/mmm


! VZn2SbO6 (GGA-PBEsol, optimized geometry); values from VASP
&SYSTEM
  ibrav = 0, nat = 20, ntyp = 4
/
ATOMIC_SPECIES
V 50.94 V.upf
Zn 65.41 Zn.upf
Sb 121.76 Sb.upf
O 16.00 O.upf
ATOMIC_POSITIONS angstrom
V 0.000 0.000 0.000
V 0.000 3.813 0.000
Zn 0.020 1.907 2.897
Zn 2.388 5.720 5.133
Zn 2.729 1.907 0.101
Zn 5.097 5.720 2.338
Sb 2.559 0.000 2.617
Sb 2.559 3.813 2.617
O 0.544 5.720 0.381
O 0.863 0.506 1.691
O 0.863 3.307 1.691
O 1.637 0.519 4.306
O 1.637 3.294 4.306
O 1.872 5.720 3.044
O 3.246 1.907 2.191
O 3.480 4.332 0.929
O 3.480 7.107 0.929
O 4.254 4.319 3.544
O 4.254 7.120 3.544
O 4.574 1.907 4.854
CELL_PARAMETERS angstrom
5.200 0.000 0.000
0.000 7.626 0.000
-0.082 0.000 5.235
! - DOS at the Fermi energy (states/eV/f.u.) = 4.36
! - space-group type = P2_1/m
! - energy relative to the elements, uncorrected (eV/atom) = -1.581


! MgBi3N (GGA-PBEsol, optimized geometry); values from VASP
&SYSTEM
  ibrav = 0, nat = 5, ntyp = 3
/
ATOMIC_SPECIES
Mg 24.30 Mg.upf
Bi 208.98 Bi.upf
N 14.01 N.upf
ATOMIC_POSITIONS angstrom
Mg 0.000 0.000 0.000
Bi 0.000 2.462 2.462
Bi 2.462 0.000 2.462
Bi 2.462 2.462 0.000
N 2.462 2.462 2.462
CELL_PARAMETERS angstrom
4.923 0.000 0.000
0.000 4.923 0.000
0.000 0.000 4.923
! - DOS at the Fermi energy (states/eV/f.u.) = 2.66
! - space-group type = Pm-3m
! - energy relative to the elements, uncorrected (eV/atom) = 0.359